No. 1
The following is a DFT calculation (PBE) of an optimized crystal structure of Sr2CdIn2Hg4.

## Properties
Energy of formation (eV/atom): -0.275
M_tot (μB per formula unit): 0.000
DOS at the Fermi energy (states/eV/atom): 0.645

Cell: 7.143 7.143 7.143 Å, 91.53 119.12 119.12°
Element x y z (fractional)
Sr: 0.500 0.750 0.250
Sr: 0.500 0.250 0.750
Cd: 0.000 0.000 0.000
In: 0.000 0.707 0.707
In: 0.000 0.293 0.293
Hg: 0.000 0.721 0.279
Hg: 0.442 0.721 0.721
Hg: 0.000 0.279 0.721
Hg: 0.558 0.279 0.279

=====

No. 2
The following is a DFT calculation (PBE) of an optimized crystal structure of CeDy4ErTm2.

## Properties
Energy of formation (eV/atom): 0.155
M_tot (μB per formula unit): 2.351
DOS at the Fermi energy (states/eV/atom): 2.579

Cell: 5.855 5.852 9.363 Å, 51.35 90.00 90.00°
Element x y z (fractional)
Ce: 0.000 0.500 0.500
Dy: 0.000 0.749 0.750
Dy: 0.000 0.251 0.250
Dy: 0.500 0.751 0.250
Dy: 0.500 0.249 0.750
Er: 0.500 0.500 0.000
Tm: 0.000 0.000 0.000
Tm: 0.500 0.000 0.500

=====

No. 3
The following is a DFT calculation (PBE) of an optimized crystal structure of Pu3Al9Au2.

## Properties
Energy of formation (eV/atom): -0.345
M_tot (μB per formula unit): 17.189
DOS at the Fermi energy (states/eV/atom): 1.957

Cell: 4.374 8.271 8.271 Å, 74.25 74.67 74.67°
Element x y z (fractional)
Pu: 0.000 0.000 0.000
Pu: 0.705 0.295 0.295
Pu: 0.295 0.705 0.705
Al: 0.000 0.500 0.500
Al: 0.655 0.976 0.714
Al: 0.345 0.024 0.286
Al: 0.655 0.714 0.976
Al: 0.345 0.286 0.024
Al: 0.862 0.857 0.419
Al: 0.138 0.143 0.581
Al: 0.862 0.419 0.857
Al: 0.138 0.581 0.143
Au: 0.500 0.306 0.694
Au: 0.500 0.694 0.306

=====

No. 4
The following is a DFT calculation (PBE) of an optimized crystal structure of Ba2IrCl.

## Properties
Energy relative to the lowest polymorph listed for this composition (meV/atom): 112.3
M_tot (μB per formula unit): 0.000
DOS at the Fermi energy (states/eV/atom): 0.182
E_form (uncorrected) (meV/atom): -844

Cell: 6.236 6.236 5.136 Å, 90.00 90.00 37.92°
Element x y z (fractional)
Ir: 0.253 0.253 0.125
Ba: 0.005 0.005 0.125
Ba: 0.752 0.752 0.625
Cl: 0.489 0.489 0.625

=====

No. 5
The following is a DFT calculation (PBE) of an optimized crystal structure of CaCeTm2P4.

## Properties
Energy of formation (eV/atom): -1.438
M_tot (μB per formula unit): 0.120
DOS at the Fermi energy (states/eV/atom): 0.039

Cell: 4.034 6.933 6.975 Å, 109.01 90.00 90.00°
Element x y z (fractional)
Ca: 0.500 0.500 0.000
Ce: 0.000 0.000 0.000
Tm: 0.500 0.000 0.500
Tm: 0.000 0.500 0.500
P: 0.500 0.248 0.257
P: 0.500 0.752 0.743
P: 0.000 0.239 0.741
P: 0.000 0.761 0.259

=====

No. 6
The following is a DFT calculation (PBE) of an optimized crystal structure of PmEu2Lu.

## Properties
Energy relative to the lowest polymorph listed for this composition (meV/atom): 7.2
Energy of formation (eV/atom): 0.123
M_tot (μB per formula unit): 15.200
DOS at the Fermi energy (states/eV/atom): 1.393

Cell: 5.283 5.179 5.179 Å, 90.00 90.00 90.00°
Element x y z (fractional)
Eu: 0.000 0.000 0.500
Eu: 0.000 0.500 0.000
Lu: 0.500 0.000 0.000
Pm: 0.500 0.500 0.500

=====

No. 7
The following is a DFT calculation (PBE) of an optimized crystal structure of Pr3AgPt2.

## Properties
Energy relative to the lowest polymorph listed for this composition (meV/atom): 116.9
Energy of formation (eV/atom): -0.619
M_tot (μB per formula unit): 0.000
DOS at the Fermi energy (states/eV/atom): 0.860

Cell: 3.971 4.553 9.083 Å, 90.00 102.63 90.00°
Element x y z (fractional)
Pr: 0.338 0.000 0.676
Pr: 0.662 0.000 0.324
Pr: 0.500 0.500 0.000
Ag: 0.000 0.000 0.000
Pt: 0.129 0.500 0.259
Pt: 0.871 0.500 0.741

=====

No. 8
The following is a DFT calculation (PBE) of an optimized crystal structure of Hf3CuOs.

## Properties
Energy relative to the lowest polymorph listed for this composition (meV/atom): 0.0
Energy of formation (eV/atom): 0.629
M_tot (μB per formula unit): 0.001
DOS at the Fermi energy (states/eV/atom): 1.862

Cell: 4.997 4.997 4.997 Å, 90.00 90.00 90.00°
Element x y z (fractional)
Hf: 0.000 0.500 0.000
Hf: 0.000 0.000 0.500
Hf: 0.500 0.000 0.000
Os: 0.000 0.000 0.000
Cu: 0.500 0.500 0.500

=====

No. 9
The following is a DFT calculation (PBE) of an optimized crystal structure of V4Fe9Pt11.

## Properties
Energy of formation (eV/atom): -0.190
M_tot (μB per formula unit): 21.993
DOS at the Fermi energy (states/eV/atom): 0.725

Cell: 3.803 9.880 9.880 Å, 112.25 90.00 90.00°
Element x y z (fractional)
V: 0.500 0.552 0.740
V: 0.500 0.448 0.260
V: 0.500 0.740 0.552
V: 0.500 0.260 0.448
Fe: 0.500 0.628 0.129
Fe: 0.500 0.372 0.871
Fe: 0.500 0.129 0.628
Fe: 0.500 0.871 0.372
Fe: 0.500 0.795 0.961
Fe: 0.500 0.205 0.039
Fe: 0.500 0.961 0.795
Fe: 0.500 0.039 0.205
Fe: 0.500 0.500 0.500
Pt: 0.000 0.584 0.919
Pt: 0.000 0.416 0.081
Pt: 0.000 0.919 0.584
Pt: 0.000 0.081 0.416
Pt: 0.000 0.659 0.341
Pt: 0.000 0.341 0.659
Pt: 0.000 0.831 0.169
Pt: 0.000 0.169 0.831
Pt: 0.000 0.000 0.000
Pt: 0.000 0.747 0.747
Pt: 0.000 0.253 0.253

=====

No. 10
The following is a DFT calculation (PBE) of an optimized crystal structure of GdGaBi2.

## Properties
Energy relative to the lowest polymorph listed for this composition (meV/atom): 560.4
Energy of formation (eV/atom): 0.153
M_tot (μB per formula unit): 7.364
DOS at the Fermi energy (states/eV/atom): 1.238

Cell: 3.644 3.644 11.019 Å, 80.48 80.48 60.00°
Element x y z (fractional)
Gd: 0.000 0.000 0.000
Bi: 0.099 0.099 0.704
Bi: 0.901 0.901 0.296
Ga: 0.500 0.500 0.500

=====

No. 11
The following is a DFT calculation (PBE) of an optimized crystal structure of Ho2TlAg.

## Properties
Energy relative to the lowest polymorph listed for this composition (meV/atom): 2.8
Energy of formation (eV/atom): -0.334
M_tot (μB per formula unit): 0.001
DOS at the Fermi energy (states/eV/atom): 0.788

Cell: 3.643 3.643 7.648 Å, 90.00 90.00 90.00°
Element x y z (fractional)
Tl: 0.500 0.500 0.500
Ho: 0.000 0.000 0.765
Ho: 0.000 0.000 0.235
Ag: 0.500 0.500 0.000

=====

No. 12
The following is a DFT calculation (PBE) of an optimized crystal structure of GeMo3Rh.

## Properties
Energy relative to the lowest polymorph listed for this composition (meV/atom): 0.0
Energy of formation (eV/atom): 1.427
M_tot (μB per formula unit): 0.000
DOS at the Fermi energy (states/eV/atom): 1.255

Cell: 4.544 4.544 4.544 Å, 90.00 90.00 90.00°
Element x y z (fractional)
Mo: 0.000 0.500 0.000
Mo: 0.000 0.000 0.500
Mo: 0.500 0.000 0.000
Rh: 0.500 0.500 0.500
Ge: 0.000 0.000 0.000